Rb3Pm2SmS6 after structural relaxation. Source: the Alexandria database, functional GGA-PBE.

Values from the calculation:
The calculation puts the uncorrected formation energy at -2125 kJ/mol of formula units. As for the space group: C2/m. The value obtained for the total magnetization is 0.00 μB per formula unit.

Cell lengths 7.2503, 7.2503, 8.0828 Å; angles 98.60, 98.60, 120.00 degrees
Fractional positions:
Rb 0.0000 0.0000 0.0000
Rb 0.3330 0.6670 0.0000
Rb 0.6670 0.3330 0.0000
Pm 0.1666 0.8334 0.5000
Pm 0.8334 0.1666 0.5000
Sm 0.5000 0.5000 0.5000
S 0.1026 0.4347 0.3041
S 0.2332 0.2332 0.6960
S 0.4347 0.1026 0.3041
S 0.5653 0.8974 0.6959
S 0.7668 0.7668 0.3040
S 0.8974 0.5653 0.6959